Here is ReMo2Br after structural relaxation from Alexandria via LeMat-Bulk. Energies are from PBE-GGA.

a b c (Å): 9.8669 3.0350 4.6414
angles (deg): 90.00 112.74 90.00
Closest atoms and distances in Å follow each position.
Atoms (fractional coordinates):
Re: 0.0000 0.0000 0.0000  4 Br 2.77, 6 Mo 2.80-2.98, 2 Re 3.04
Re: 0.5000 0.5000 0.0000  4 Br 2.77, 6 Mo 2.80-2.98, 2 Re 3.04
Mo: 0.2411 0.0000 0.7641  2 Mo 2.61, 2 Br 2.69, 2 Re 2.80
Mo: 0.2589 0.5000 0.2359  2 Mo 2.61, 2 Br 2.69, 2 Re 2.80
Mo: 0.7411 0.5000 0.7641  2 Mo 2.61, 2 Br 2.69, 2 Re 2.80
Mo: 0.7589 0.0000 0.2359  2 Mo 2.61, 2 Br 2.69, 2 Re 2.80
Br: 0.0000 0.5000 0.5000  4 Mo 2.69, 4 Re 2.77
Br: 0.5000 0.0000 0.5000  4 Mo 2.69, 4 Re 2.77

Values from the calculation:
Its symmetry is C2/m, No. 12. The calculation puts the formation energy from raw total energies at 0.8422 eV/atom. For the magnetization, the calculation gives 0.0 μB/cell. Its excess energy over the best structure of this formula in the dataset is 1.75 eV/f.u. As for the total energy: -8.104 eV/atom.